VZn3F, relaxed, DFT GGA+U; E = -2.525 eV per atom
1.0
4.343 0.000 0.000
0.000 4.343 0.000
0.000 0.000 4.343
F V Zn
1 1 3
Direct
0.000 0.000 0.000
0.500 0.500 0.500
0.000 0.000 0.500
0.500 0.000 0.000
0.000 0.500 0.000